The following is a DFT calculation (PBE-GGA) of a relaxed LaAlRe crystal.

relative energy among the computed polymorphs: 1.569 eV per atom
M_tot: 4.13 μB per cell
total energy: -5.67 eV per atom
ΔH_f (0 K): 1.370 eV per atom
DOS(E_F): 13.50 states/eV/cell

Cell lengths 6.7641, 6.7641, 6.7641 Å; angles 90.00, 90.00, 90.00 degrees
Space group F-43m (No. 216)
One atom of each set of equivalent atoms:
La 0.0000 0.0000 0.0000 (multiplicity 4)
Al 0.2500 0.2500 0.2500 (multiplicity 4)
Re 0.2500 0.2500 0.7500 (multiplicity 4)

***

The following is a DFT calculation (PBE-GGA) of a relaxed TiSb2Pt crystal.

relative energy among the computed polymorphs: 0.000 eV per atom
M_tot: 0.00 μB per cell
total energy: -5.65 eV per atom
DOS(E_F): 7.82 states/eV/cell

Cell lengths 6.8264, 6.8264, 6.8264 Å; angles 90.00, 90.00, 90.00 degrees
Space group Fm-3m (No. 225)
One atom of each set of equivalent atoms:
Ti 0.0000 0.0000 0.0000 (multiplicity 4)
Sb 0.2500 0.2500 0.2500 (multiplicity 8)
Pt 0.0000 0.0000 0.5000 (multiplicity 4)

***

The following is a DFT calculation (PBE-GGA) of a relaxed BaSeN2 crystal.

M_tot: 0.00 μB per cell
total energy: -5.08 eV per atom
DOS(E_F): 1.30 states/eV/cell

Cell lengths 4.3259, 4.3259, 18.9636 Å; angles 90.00, 90.00, 120.00 degrees
Space group R-3m (No. 166, hexagonal axes)
One atom of each set of equivalent atoms:
Ba 0.0000 0.0000 0.0000 (multiplicity 3)
Se 0.0000 0.0000 0.5000 (multiplicity 3)
N 0.0000 0.0000 0.4049 (multiplicity 6)

***

The following is a DFT calculation (PBE-GGA) of a relaxed CaTl3 crystal.

M_tot: 0.00 μB per cell
total energy: -2.45 eV per atom
ΔH_f (0 K): -0.176 eV per atom
DOS(E_F): 1.78 states/eV/cell

Cell lengths 3.7137, 5.5507, 5.8914 Å; angles 90.00, 95.06, 90.00 degrees
Space group P2/m (No. 10)
One atom of each set of equivalent atoms:
Ca 0.0000 0.0000 0.0000 (multiplicity 1)
Tl 0.2713 0.5000 0.7423 (multiplicity 2)
Tl 0.5000 0.0000 0.5000 (multiplicity 1)

***

Q: Look up the M_tot of the fourth one.
A: 0.00 μB per cell

***

Q: What is the formula in the second record?
A: TiSb2Pt